1.
SrFeRe2 after structural relaxation. Source: Alexandria via LeMat-Bulk, functional PBE-GGA.

a b c (Å): 5.193 5.193 2.671
angles (deg): 90.00 90.00 90.00
Element x y z (fractional)
Sr: 0.000 0.000 0.000
Fe: 0.500 0.500 0.000
Re: 0.000 0.500 0.500
Re: 0.500 0.000 0.500

Values from the calculation:
* crystal system: tetragonal
* total magnetic moment: 2.65 μB per cell
* energy relative to the lowest polymorph listed for this composition: 891 meV per atom

2.
Sr2FeRe after structural relaxation. Source: Alexandria via LeMat-Bulk, functional PBE-GGA.

a b c (Å): 7.195 7.195 7.195
angles (deg): 90.00 90.00 90.00
Element x y z (fractional)
Sr: 0.000 0.000 0.000
Sr: 0.000 0.500 0.500
Sr: 0.250 0.250 0.250
Sr: 0.250 0.750 0.750
Sr: 0.500 0.000 0.500
Sr: 0.500 0.500 0.000
Sr: 0.750 0.250 0.750
Sr: 0.750 0.750 0.250
Fe: 0.000 0.000 0.500
Fe: 0.000 0.500 0.000
Fe: 0.500 0.000 0.000
Fe: 0.500 0.500 0.500
Re: 0.250 0.250 0.750
Re: 0.250 0.750 0.250
Re: 0.750 0.250 0.250
Re: 0.750 0.750 0.750

Values from the calculation:
* crystal system: cubic
* total magnetic moment: 17.78 μB per cell
* energy relative to the lowest polymorph listed for this composition: 844 meV per atom

3.
Sr2FeRe after structural relaxation. Source: Alexandria via LeMat-Bulk, functional PBE-GGA.

a b c (Å): 11.353 11.353 4.429
angles (deg): 90.00 90.00 90.00
Element x y z (fractional)
Sr: 0.066 0.250 0.125
Sr: 0.250 0.566 0.375
Sr: 0.250 0.934 0.875
Sr: 0.434 0.250 0.625
Sr: 0.566 0.750 0.625
Sr: 0.750 0.066 0.875
Sr: 0.750 0.434 0.375
Sr: 0.934 0.750 0.125
Fe: 0.000 0.000 0.000
Fe: 0.000 0.500 0.250
Fe: 0.500 0.000 0.750
Fe: 0.500 0.500 0.500
Re: 0.000 0.000 0.500
Re: 0.000 0.500 0.750
Re: 0.500 0.000 0.250
Re: 0.500 0.500 0.000

Values from the calculation:
* crystal system: tetragonal
* total magnetic moment: 11.81 μB per cell
* energy relative to the lowest polymorph listed for this composition: 631 meV per atom

Calculated N(E_F) (states/eV/f.u.), listed in the same order as above: 4.82, 4.26, 4.44